First-principles (PBE with a Hubbard U) data for Ba2VP2O9 after structural relaxation, as listed in Alexandria.

POSCAR file:
```
Ba2VP2O9
1.0
8.925 -2.779 0.000
8.925 2.779 0.000
-3.254 0.000 9.038
Ba V P O
4 2 4 18
direct
0.146 0.181 0.328
0.181 0.146 0.828
0.819 0.854 0.172
0.854 0.819 0.672
0.435 0.565 0.250
0.565 0.435 0.750
0.340 0.399 0.426
0.399 0.340 0.926
0.601 0.660 0.074
0.660 0.601 0.574
0.068 0.552 0.399
0.120 0.539 0.941
0.134 0.866 0.250
0.348 0.538 0.565
0.388 0.407 0.288
0.407 0.388 0.788
0.448 0.932 0.101
0.461 0.880 0.559
0.462 0.652 0.935
0.538 0.348 0.065
0.539 0.120 0.441
0.552 0.068 0.899
0.593 0.612 0.212
0.612 0.593 0.712
0.652 0.462 0.435
0.866 0.134 0.750
0.880 0.461 0.059
0.932 0.448 0.601
```

Calculated values
Total magnetic moment in Bohr magnetons per cell: 2.0
Calculated density in g/cm³: 3.938
E in eV/atom: -7.39